A plane-wave DFT calculation with PBE with a Hubbard U was carried out for Li2V3O6 after structural relaxation.

The total energy is -7.146 eV/atom. The energy relative to the lowest polymorph listed for this composition is 0.000 eV/atom. For the theoretical density, the calculation gives 3.8 g/cm3.

The structure belongs to space group P1 (No. 1); the cell edges are 3.039, 6.122 and 6.507 Å and the angles 103.68°, 103.50° and 90.01°. The distinct sites, in fractional coordinates, are Li at (0.000, 0.000, 0.000), Li at (0.329, 0.636, 0.655), V at (0.007, 0.467, 0.011), V at (0.324, 0.169, 0.644), V at (0.665, 0.818, 0.328), O at (0.164, 0.029, 0.324), O at (0.167, 0.607, 0.331), O at (0.488, 0.238, 0.974), O at (0.509, 0.714, 0.016), O at (0.821, 0.922, 0.640) and O at (0.842, 0.398, 0.682).